Record 1
Material: K2P2Pd
Method: DFT, PBE
State: relaxed

a = 7.796 Å, b = 7.796 Å, c = 5.959 Å
α = 90.00°, β = 90.00°, γ = 131.73°
Atoms (fractional coordinates):
K1 0.076 0.924 0.750
K2 0.288 0.712 0.250
K3 0.712 0.288 0.750
K4 0.924 0.076 0.250
P1 0.218 0.440 0.750
P2 0.440 0.218 0.250
P3 0.560 0.782 0.750
P4 0.782 0.560 0.250
Pd1 0.500 0.500 0.000
Pd2 0.500 0.500 0.500

Energy above the most stable polymorph in this dataset ... 0.000 eV per formula unit
Volume ... 27.03 Å³/atom
SG ... Cmcm, No. 63

Record 2
Material: KPPd
Method: DFT, PBE
State: relaxed

a = 6.279 Å, b = 6.279 Å, c = 6.279 Å
α = 148.86°, β = 148.86°, γ = 44.61°
Atoms (fractional coordinates):
K1 0.000 0.000 0.000
P1 0.714 0.714 0.000
Pd1 0.274 0.274 0.000

Total DFT energy (no corrections) ... -4.223 eV/atom
Volume ... 21.99 Å³/atom
SG ... I4mm, No. 107

Record 3
Material: K2PPd2
Method: DFT, PBE
State: relaxed

a = 6.394 Å, b = 6.394 Å, c = 5.490 Å
α = 90.00°, β = 90.00°, γ = 90.00°
Atoms (fractional coordinates):
K1 0.175 0.325 0.000
K2 0.325 0.825 0.000
K3 0.675 0.175 0.000
K4 0.825 0.675 0.000
P1 0.000 0.000 0.500
P2 0.500 0.500 0.500
Pd1 0.163 0.663 0.500
Pd2 0.337 0.163 0.500
Pd3 0.663 0.837 0.500
Pd4 0.837 0.337 0.500

Energy above the most stable polymorph in this dataset ... 0.135 eV per formula unit
Volume ... 22.44 Å³/atom
SG ... P4/mbm, No. 127

Record 4
Material: KP3Pd
Method: DFT, PBE
State: relaxed

a = 4.847 Å, b = 4.847 Å, c = 4.847 Å
α = 90.00°, β = 90.00°, γ = 90.00°
Atoms (fractional coordinates):
K1 0.000 0.000 0.000
P1 0.000 0.500 0.500
P2 0.500 0.000 0.500
P3 0.500 0.500 0.000
Pd1 0.500 0.500 0.500

Energy above the most stable polymorph in this dataset ... 0.000 eV per formula unit
Volume ... 22.78 Å³/atom
SG ... Pm-3m, No. 221

Short version: spin magnetization = 0.0000 0.0000 0.0000 0.0001 μB/atom, in the order given.